Compound: CaTb4Dy7
Source: Alexandria via LeMat-Bulk
Functional: PBE
Structure: optimized geometry

abc: 7.2090 9.5233 8.8677
angles: 81.18 90.05 40.89
With the nearest neighbours (Å) after each atom.
Element x y z (fractional)
Dy1 0.2253 0.7748 0.6603  5 Tb 3.48-3.66, 6 Dy 3.48-3.66, 1 Ca 3.61
Dy2 0.7747 0.2252 0.3397  5 Tb 3.48-3.66, 6 Dy 3.48-3.66, 1 Ca 3.61
Dy3 0.5000 0.0000 0.0000  4 Tb 3.52-3.57, 6 Dy 3.57-3.58, 2 Ca 3.60
Tb1 0.7197 0.7803 0.6689  8 Dy 3.51-3.61, 4 Tb 3.53-3.59
Dy4 0.7569 0.4996 0.0001  7 Dy 3.51-3.70, 3 Tb 3.51-3.57, 2 Ca 3.62-3.63
Dy5 0.9707 0.2827 0.6626  6 Tb 3.46-3.65, 5 Dy 3.48-3.66, 1 Ca 3.59
Ca1 0.0000 0.0000 0.0000  10 Dy 3.59-3.63, 2 Tb 3.59
Dy6 0.2431 0.5004 0.9999  7 Dy 3.51-3.70, 3 Tb 3.51-3.57, 2 Ca 3.62-3.63
Tb2 0.5357 0.7172 0.3378  8 Dy 3.46-3.66, 3 Tb 3.53-3.59, 1 Ca 3.59
Dy7 0.0293 0.7173 0.3374  6 Tb 3.46-3.65, 5 Dy 3.48-3.66, 1 Ca 3.59
Tb3 0.4643 0.2828 0.6622  8 Dy 3.46-3.66, 3 Tb 3.53-3.59, 1 Ca 3.59
Tb4 0.2803 0.2197 0.3311  8 Dy 3.51-3.61, 4 Tb 3.53-3.59

Output
For the total magnetization, the calculation gives 0.000 μB per atom. The electronic total energy is -52.35 eV/cell. Its crystal system is triclinic. Its space group is No. 2. The formation energy is 0.03 eV per atom.



Compound: Np2TaN3
Source: Alexandria via LeMat-Bulk
Functional: PBE
Structure: optimized geometry

abc: 5.7556 5.7556 10.4617
angles: 100.63 100.63 109.22
With the nearest neighbours (Å) after each atom.
Element x y z (fractional)
Ta1 0.0836 0.0836 0.1672  6 N 2.23-2.24
N1 0.5889 0.6111 0.6739  2 Ta 2.23-2.24, 4 Np 2.36-2.45
N2 0.3128 0.8350 0.1739  2 Ta 2.23-2.24, 4 Np 2.36-2.45
Ta2 0.1664 0.6664 0.3328  6 N 2.23-2.24
N3 0.2239 0.2239 0.0000  2 Ta 2.23, 4 Np 2.35-2.46
Ta3 0.9164 0.9164 0.8328  6 N 2.23-2.24
N4 0.9372 0.9150 0.3261  2 Ta 2.23-2.24, 4 Np 2.36-2.45
N5 0.0850 0.0628 0.6739  2 Ta 2.23-2.24, 4 Np 2.36-2.45
N6 0.3889 0.4111 0.3261  2 Ta 2.23-2.24, 4 Np 2.36-2.45
Np1 0.5820 0.5820 0.1641  6 N 2.38-2.46
N7 0.4739 0.9739 0.5000  2 Ta 2.23, 4 Np 2.35-2.46
Np2 0.7488 0.7488 0.4976  6 N 2.35-2.44
N8 0.0261 0.5261 0.5000  2 Ta 2.23, 4 Np 2.35-2.46
Ta4 0.3336 0.8336 0.6672  6 N 2.23-2.24
Np3 0.9988 0.4988 0.9976  6 N 2.35-2.44
Np4 0.4180 0.4180 0.8359  6 N 2.38-2.46
N9 0.6611 0.1389 0.8261  2 Ta 2.23-2.24, 4 Np 2.36-2.45
Np5 0.5012 0.0012 0.0024  6 N 2.35-2.44
Np6 0.6680 0.1680 0.3359  6 N 2.38-2.46
N10 0.1650 0.6872 0.8261  2 Ta 2.23-2.24, 4 Np 2.36-2.45
Np7 0.8320 0.3320 0.6641  6 N 2.38-2.46
Np8 0.2512 0.2512 0.5024  6 N 2.35-2.44
N11 0.7761 0.7761 0.0000  2 Ta 2.23, 4 Np 2.35-2.46
N12 0.8611 0.3389 0.1739  2 Ta 2.23-2.24, 4 Np 2.36-2.45

Output
For the total magnetization, the calculation gives 0.990 μB per atom. The electronic total energy is -278.50 eV/cell. Its crystal system is orthorhombic. Its space group is No. 70.



Compound: LaCrS3
Source: Alexandria via LeMat-Bulk
Functional: PBE
Structure: optimized geometry

abc: 3.8274 7.8788 13.1377
angles: 90.00 90.00 90.00
With the nearest neighbours (Å) after each atom.
Element x y z (fractional)
S1 0.2500 0.8367 0.9946  2 Cr 2.48
Cr1 0.2500 0.3384 0.9475  6 S 2.38-2.48
S2 0.7500 0.8042 0.2130  1 Cr 2.39
La1 0.7500 0.9131 0.8285  9 S 2.96-3.29
S3 0.2500 0.4888 0.1043  3 Cr 2.38-2.45
La2 0.2500 0.0869 0.1715  9 S 2.96-3.29
S4 0.7500 0.3042 0.2870  1 Cr 2.39
Cr2 0.7500 0.6616 0.0525  6 S 2.38-2.48
S5 0.2500 0.1958 0.7870  1 Cr 2.39
S6 0.7500 0.0112 0.6043  3 Cr 2.38-2.45
S7 0.7500 0.6633 0.4946  2 Cr 2.48
S8 0.2500 0.9888 0.3957  3 Cr 2.38-2.45
Cr3 0.2500 0.8384 0.5525  6 S 2.38-2.48
La3 0.2500 0.5869 0.3285  9 S 2.96-3.29
Cr4 0.7500 0.1616 0.4475  6 S 2.38-2.48
S9 0.2500 0.3367 0.5054  2 Cr 2.48
S10 0.7500 0.1633 0.0054  2 Cr 2.48
S11 0.7500 0.5112 0.8957  3 Cr 2.38-2.45
S12 0.2500 0.6958 0.7130  1 Cr 2.39
La4 0.7500 0.4131 0.6715  9 S 2.96-3.29

Output
For the total magnetization, the calculation gives 0.600 μB per atom. The electronic total energy is -136.95 eV/cell. Its crystal system is orthorhombic. Its space group is No. 62. The distance to the lowest polymorph of the same formula comes out at 0.0 meV/atom.